(1)
{"formula": "HoCd3Hg3", "functional": "PBE", "state": "optimized geometry", "cell": [[-1.6824, 5.5833, 2.7827], [-2.7838, -0.0063, 5.8308], [7.4004, 2.4220, 7.1157]], "species": ["Cd", "Cd", "Cd", "Cd", "Cd", "Cd", "Hg", "Hg", "Hg", "Hg", "Hg", "Hg", "Ho", "Ho"], "frac_coords": [[0.3613, 0.8890, 0.3868], [0.6387, 0.1110, 0.6132], [0.3628, 0.3613, 0.3868], [0.1110, 0.6372, 0.6132], [0.6372, 0.6387, 0.6132], [0.8890, 0.3628, 0.3868], [0.2100, 0.7298, 0.8494], [0.7900, 0.2702, 0.1506], [0.7893, 0.7900, 0.1506], [0.2702, 0.7893, 0.1506], [0.7298, 0.2107, 0.8494], [0.2107, 0.2100, 0.8494], [0.7009, 0.7009, 0.8972], [0.2991, 0.2991, 0.1028]], "e_form_ev_per_fu": -1.0, "magmom_total_mub_per_fu": 0.000, "volume_a3_per_cell": 357, "space_group": "No. 166", "final_energy_ev_per_atom": -1.3126}

***

(2)
{"formula": "CuSn3Pb", "functional": "PBE", "state": "optimized geometry", "cell": [[-0.0937, 2.2040, -5.3595], [-5.6174, -1.3514, -0.4576], [-1.4237, 5.1872, 2.1580]], "species": ["Pb", "Sn", "Sn", "Sn", "Cu"], "frac_coords": [[0.0000, 0.0000, 0.0000], [0.0000, 0.5000, 0.0000], [0.5000, 0.0000, 0.0000], [0.0000, 0.0000, 0.5000], [0.5000, 0.5000, 0.5000]], "e_form_ev_per_fu": 5.5, "magmom_total_mub_per_fu": 0.000, "volume_a3_per_cell": 195, "space_group": "No. 221", "final_energy_ev_per_atom": -2.8583}

***

(3)
{"formula": "SrCuAu", "functional": "PBE", "state": "optimized geometry", "cell": [[5.0599, 0.0000, 0.0000], [2.5300, 4.3820, 0.0000], [2.5300, 1.4607, 4.1314]], "species": ["Sr", "Cu", "Au"], "frac_coords": [[0.7500, 0.7500, 0.7500], [0.5000, 0.5000, 0.5000], [0.0000, 0.0000, 0.0000]], "e_form_ev_per_fu": 0.2, "magmom_total_mub_per_fu": 0.000, "volume_a3_per_cell": 92, "space_group": "No. 216", "final_energy_ev_per_atom": -2.9557}

***

(4)
{"formula": "CoRh3S", "functional": "PBE", "state": "optimized geometry", "cell": [[-0.0490, 4.1510, 1.2350], [-4.3307, -0.0354, -0.0529], [-0.0406, -1.2355, 4.1510]], "species": ["Rh", "Rh", "Rh", "Co", "S"], "frac_coords": [[0.5000, 0.0000, 0.0000], [0.0000, 0.0000, 0.5000], [0.0000, 0.5000, 0.0000], [0.5000, 0.5000, 0.5000], [0.0000, 0.0000, 0.0000]], "magmom_total_mub_per_fu": 2.688, "formation_energy_uncorrected_ev_per_atom": 0.451, "volume_a3_per_cell": 81, "space_group": "No. 221", "final_energy_ev_per_atom": -6.2063}

***

(5)
{"formula": "ReBiIN2", "functional": "PBE", "state": "optimized geometry", "cell": [[4.1111, 0.0000, 0.0000], [0.0000, 4.1111, 0.0000], [0.0000, 0.0000, 5.6130]], "species": ["N", "N", "Bi", "Re", "I"], "frac_coords": [[0.5000, 0.0000, 0.0000], [0.0000, 0.5000, 0.0000], [0.5000, 0.5000, 0.5000], [0.0000, 0.0000, 0.0000], [0.0000, 0.0000, 0.5000]], "magmom_total_mub_per_fu": 0.171, "formation_energy_uncorrected_ev_per_atom": 1.092, "volume_a3_per_cell": 95, "space_group": "No. 123", "final_energy_ev_per_atom": -5.8139}

***

(6)
{"formula": "AcNpBiO6", "functional": "PBE", "state": "optimized geometry", "cell": [[6.1502, 0.0000, 0.0000], [-3.0751, 5.3262, 0.0000], [0.0000, 0.0000, 9.1034]], "species": ["O", "O", "O", "O", "O", "O", "O", "O", "O", "O", "O", "O", "Np", "Np", "Ac", "Ac", "Bi", "Bi"], "frac_coords": [[0.3711, 0.0523, 0.1292], [0.3188, 0.3711, 0.8708], [0.3188, 0.9477, 0.6292], [0.6812, 0.0523, 0.3708], [0.0523, 0.6812, 0.8708], [0.0523, 0.3711, 0.6292], [0.9477, 0.3188, 0.1292], [0.6289, 0.9477, 0.8708], [0.9477, 0.6289, 0.3708], [0.6289, 0.6812, 0.6292], [0.6812, 0.6289, 0.1292], [0.3711, 0.3188, 0.3708], [0.6667, 0.3333, 0.2500], [0.3333, 0.6667, 0.7500], [0.6667, 0.3333, 0.7500], [0.3333, 0.6667, 0.2500], [0.0000, 0.0000, 0.0000], [0.0000, 0.0000, 0.5000]], "magmom_total_mub_per_fu": 1.000, "formation_energy_uncorrected_ev_per_atom": -2.472, "volume_a3_per_cell": 298, "space_group": "No. 163", "final_energy_ev_per_atom": -8.1029}

***

(7)
{"formula": "Pa4FeSe2S", "functional": "PBE", "state": "optimized geometry", "cell": [[3.7962, 0.0000, 0.0000], [0.0000, 7.1554, -0.2478], [0.0000, 2.4212, 6.5342]], "species": ["Pa", "Pa", "Pa", "Pa", "Fe", "Se", "Se", "S"], "frac_coords": [[0.0000, 0.7096, 0.7755], [0.5000, 0.7272, 0.2553], [0.0000, 0.2904, 0.2245], [0.5000, 0.2728, 0.7447], [0.5000, 0.5000, 0.0000], [0.5000, 0.0000, 0.5000], [0.0000, 0.0000, 0.0000], [0.0000, 0.5000, 0.5000]], "magmom_total_mub_per_fu": 0.000, "formation_energy_uncorrected_ev_per_atom": -1.056, "volume_a3_per_cell": 180, "space_group": "No. 10", "final_energy_ev_per_atom": -8.2484}

***

(8)
{"formula": "Cs2MgIn7", "functional": "PBE", "state": "optimized geometry", "cell": [[-3.1166, 3.6831, 1.6149], [-2.6369, -0.3289, -4.3388], [-7.7101, -8.8736, 5.3584]], "species": ["In", "In", "In", "In", "In", "In", "In", "Cs", "Cs", "Mg"], "frac_coords": [[0.5000, 0.0000, 0.3664], [0.5000, 0.5000, 0.5000], [0.0000, 0.0000, 0.0000], [0.5000, 0.0000, 0.1310], [0.0000, 0.0000, 0.5000], [0.0000, 0.5000, 0.6336], [0.0000, 0.5000, 0.8690], [0.0000, 0.5000, 0.2516], [0.5000, 0.0000, 0.7484], [0.5000, 0.5000, 0.0000]], "e_form_ev_per_fu": -0.9, "magmom_total_mub_per_fu": 0.000, "volume_a3_per_cell": 334, "space_group": "No. 115", "final_energy_ev_per_atom": -2.3380}

***

(9)
{"formula": "NaCa2PdBr", "functional": "PBE", "state": "optimized geometry", "cell": [[5.6563, 0.0000, 0.0000], [0.0000, 5.0253, 0.0000], [0.0000, 0.0000, 5.6563]], "species": ["Na", "Br", "Ca", "Ca", "Pd"], "frac_coords": [[0.5000, 0.5000, 0.5000], [0.0000, 0.0000, 0.0000], [0.5000, 0.0000, 0.0000], [0.0000, 0.0000, 0.5000], [0.0000, 0.5000, 0.0000]], "magmom_total_mub_per_fu": 0.000, "formation_energy_uncorrected_ev_per_atom": -0.245, "volume_a3_per_cell": 161, "space_group": "No. 123", "final_energy_ev_per_atom": -2.6825}

***

(10)
{"formula": "RbAlAu3", "functional": "PBE", "state": "optimized geometry", "cell": [[-2.9010, 2.3601, 3.4609], [-4.1693, -2.0353, -2.1068], [0.4066, -4.0313, 3.0899]], "species": ["Rb", "Au", "Au", "Au", "Al"], "frac_coords": [[0.5000, 0.5000, 0.5000], [0.0000, 0.0000, 0.5000], [0.0000, 0.5000, 0.0000], [0.5000, 0.0000, 0.0000], [0.0000, 0.0000, 0.0000]], "e_form_ev_per_fu": -1.0, "magmom_total_mub_per_fu": 0.000, "volume_a3_per_cell": 132, "space_group": "No. 221", "final_energy_ev_per_atom": -3.1051}

***

(11)
{"formula": "NaIF2", "functional": "PBE", "state": "optimized geometry", "cell": [[2.3215, 0.0000, 6.1904], [-1.1607, 2.0105, 6.1904], [-1.1607, -2.0105, 6.1904]], "species": ["Na", "F", "F", "I"], "frac_coords": [[0.5000, 0.5000, 0.5000], [0.1158, 0.1158, 0.1158], [0.8842, 0.8842, 0.8842], [0.0000, 0.0000, 0.0000]], "magmom_total_mub_per_fu": 0.000, "formation_energy_uncorrected_ev_per_atom": -1.748, "volume_a3_per_cell": 87, "space_group": "No. 166", "final_energy_ev_per_atom": -3.4011}

***

(12)
{"formula": "Nd2YRu", "functional": "PBE", "state": "optimized geometry", "cell": [[3.5131, 0.0000, 0.0000], [0.0000, 3.5131, 0.0000], [0.0000, 0.0000, 9.3299]], "species": ["Ru", "Y", "Nd", "Nd"], "frac_coords": [[0.5000, 0.5000, 0.0000], [0.5000, 0.5000, 0.5000], [0.0000, 0.0000, 0.1845], [0.0000, 0.0000, 0.8155]], "e_form_ev_per_fu": -0.1, "magmom_total_mub_per_fu": 0.002, "volume_a3_per_cell": 115, "space_group": "No. 123", "final_energy_ev_per_atom": -6.3471}